No. 1
VASP calculation (GGA-PBE) on crystalline Ba2Na3Pd2 at its relaxed geometry.

The density is 4.04 g/cm³. Its crystal system is monoclinic.

abc: 6.390 6.390 8.355
angles: 95.10 95.10 42.30
Fractional positions:
Ba1 0.127 0.127 0.367
Ba2 0.873 0.873 0.633
Na1 0.173 0.173 0.853
Na2 0.500 0.500 0.000
Na3 0.827 0.827 0.147
Pd1 0.421 0.421 0.366
Pd2 0.579 0.579 0.634

No. 2
VASP calculation (GGA-PBE) on crystalline Ba7Na2Pd2 at its relaxed geometry.

The density is 3.75 g/cm³. Its crystal system is orthorhombic.

abc: 8.175 8.175 8.469
angles: 90.00 90.00 107.43
Fractional positions:
Ba1 0.000 0.000 0.000
Ba2 0.000 0.500 0.242
Ba3 0.000 0.500 0.758
Ba4 0.500 0.000 0.242
Ba5 0.500 0.000 0.758
Ba6 0.500 0.500 0.227
Ba7 0.500 0.500 0.773
Na1 0.164 0.164 0.500
Na2 0.836 0.836 0.500
Pd1 0.288 0.712 0.000
Pd2 0.712 0.288 0.000

No. 3
VASP calculation (GGA-PBE) on crystalline Ba3NaPd at its relaxed geometry.

The density is 3.70 g/cm³. Its crystal system is monoclinic.

abc: 8.003 8.003 10.920
angles: 109.24 109.24 48.21
Fractional positions:
Ba1 0.103 0.103 0.205
Ba2 0.154 0.154 0.656
Ba3 0.363 0.363 0.070
Ba4 0.637 0.637 0.930
Ba5 0.846 0.846 0.344
Ba6 0.897 0.897 0.795
Na1 0.407 0.407 0.569
Na2 0.593 0.593 0.431
Pd1 0.128 0.128 0.927
Pd2 0.872 0.872 0.073

No. 4
VASP calculation (GGA-PBE) on crystalline Ba4NaPd at its relaxed geometry.

The density is 3.43 g/cm³. Its crystal system is monoclinic.

abc: 10.373 10.373 7.964
angles: 106.08 106.08 116.00
Fractional positions:
Ba1 0.058 0.648 0.846
Ba2 0.156 0.254 0.706
Ba3 0.254 0.156 0.206
Ba4 0.352 0.942 0.654
Ba5 0.648 0.058 0.346
Ba6 0.746 0.844 0.794
Ba7 0.844 0.746 0.294
Ba8 0.942 0.352 0.154
Na1 0.388 0.612 0.250
Na2 0.612 0.388 0.750
Pd1 0.072 0.928 0.750
Pd2 0.928 0.072 0.250

No. 5
VASP calculation (GGA-PBE) on crystalline Ba8NaPd4 at its relaxed geometry.

The density is 4.26 g/cm³. Its crystal system is monoclinic.

abc: 11.441 11.441 15.227
angles: 129.66 129.66 23.51
Fractional positions:
Ba1 0.000 0.000 0.000
Ba2 0.033 0.033 0.748
Ba3 0.076 0.076 0.484
Ba4 0.329 0.329 0.667
Ba5 0.410 0.410 0.155
Ba6 0.662 0.662 0.337
Ba7 0.705 0.705 0.074
Ba8 0.738 0.738 0.822
Na1 0.369 0.369 0.411
Pd1 0.034 0.034 0.239
Pd2 0.222 0.222 0.947
Pd3 0.517 0.517 0.874
Pd4 0.704 0.704 0.583

No. 6
VASP calculation (GGA-PBE) on crystalline BaNa2Pd at its relaxed geometry.

The density is 4.09 g/cm³. Its crystal system is cubic.

abc: 5.499 5.499 5.499
angles: 60.00 60.00 60.00
Fractional positions:
Ba1 0.000 0.000 0.000
Na1 0.250 0.250 0.250
Na2 0.750 0.750 0.750
Pd1 0.500 0.500 0.500

In the order shown, the computed formation energy values come out to -182, -199, -119, -96, -479, 13 kJ/mol of formula units.